1 | Computed, not measured: a crystal of YRu2Br relaxed with PBEsol at the SCAN level of DFT.

For the total magnetic moment, the calculation gives 0.0 μB per formula unit. Its space-group type is C2/m. Its density of states at the Fermi level is 3.55 states/eV/f.u.

Lattice parameters (Å, degrees): 5.398 5.398 4.515 92.01 92.01 33.83
Fractional positions:
Y (0.000, 0.000, 0.000)
Ru (0.280, 0.280, 0.787)
Ru (0.720, 0.720, 0.213)
Br (0.500, 0.500, 0.500)

2 | Computed, not measured: a crystal of YRu2Br relaxed with PBEsol at the SCAN level of DFT.

For the total magnetic moment, the calculation gives 0.0 μB per formula unit. Its space-group type is Amm2. Its density of states at the Fermi level is 3.55 states/eV/f.u.

Lattice parameters (Å, degrees): 3.308 7.527 7.527 25.33 90.00 90.00
Fractional positions:
Y (0.000, 0.000, 0.000)
Ru (0.000, 0.192, 0.192)
Ru (0.500, 0.632, 0.632)
Br (0.500, 0.377, 0.377)

3 | Computed, not measured: a crystal of YRu2Br relaxed with PBEsol at the SCAN level of DFT.

For the total magnetic moment, the calculation gives 2.5 μB per formula unit. Its space-group type is I4/mmm. Its density of states at the Fermi level is 2.64 states/eV/f.u.

Lattice parameters (Å, degrees): 5.624 5.624 5.624 140.81 140.81 56.63
Fractional positions:
Y (0.000, 0.000, 0.000)
Ru (0.250, 0.750, 0.500)
Ru (0.750, 0.250, 0.500)
Br (0.500, 0.500, 0.000)

What should be chosen as the most stable of them? Choose 2.

1 | Computed, not measured: a crystal of ZnRu2Br relaxed with PBEsol at the SCAN level of DFT.

For the total magnetic moment, the calculation gives 0.0 μB per formula unit. Its space-group type is P4/mmm. Its density of states at the Fermi level is 2.55 states/eV/f.u.

Lattice parameters (Å, degrees): 3.062 3.062 6.066 90.00 90.00 90.00
Fractional positions:
Zn (0.000, 0.000, 0.000)
Ru (0.500, 0.500, 0.238)
Ru (0.500, 0.500, 0.762)
Br (0.000, 0.000, 0.500)

2 | Computed, not measured: a crystal of ZnRu2Br relaxed with PBEsol at the SCAN level of DFT.

For the total magnetic moment, the calculation gives 1.5 μB per formula unit. Its space-group type is Pmmm. Its density of states at the Fermi level is 2.44 states/eV/f.u.

Lattice parameters (Å, degrees): 2.857 4.370 4.815 90.00 90.00 90.00
Fractional positions:
Zn (0.000, 0.000, 0.000)
Ru (0.000, 0.500, 0.500)
Ru (0.500, 0.500, 0.000)
Br (0.500, 0.000, 0.500)

What should be chosen as the most stable of them? Choose 1.

1 | Computed, not measured: a crystal of ZnRu2Br relaxed with PBEsol at the SCAN level of DFT.

For the total magnetic moment, the calculation gives 0.0 μB per formula unit. Its space-group type is P2/m. Its density of states at the Fermi level is 3.96 states/eV/f.u.

Lattice parameters (Å, degrees): 2.904 4.212 5.136 90.00 99.07 90.00
Fractional positions:
Zn (0.000, 0.000, 0.000)
Ru (0.354, 0.500, 0.219)
Ru (0.646, 0.500, 0.781)
Br (0.500, 0.000, 0.500)

2 | Computed, not measured: a crystal of ZnRu2Br relaxed with PBEsol at the SCAN level of DFT.

For the total magnetic moment, the calculation gives 0.0 μB per formula unit. Its space-group type is Cmmm. Its density of states at the Fermi level is 4.68 states/eV/f.u.

Lattice parameters (Å, degrees): 2.852 2.852 8.557 90.00 90.00 120.37
Fractional positions:
Zn (0.000, 0.000, 0.000)
Ru (0.500, 0.500, 0.246)
Ru (0.500, 0.500, 0.754)
Br (0.000, 0.000, 0.500)

What should be chosen as the most stable of them? Choose 1.

1 | Computed, not measured: a crystal of Zr2RuBr relaxed with PBEsol at the SCAN level of DFT.

For the total magnetic moment, the calculation gives 0.0 μB per formula unit. Its space-group type is P4mm. Its density of states at the Fermi level is 2.08 states/eV/f.u.

Lattice parameters (Å, degrees): 3.293 3.293 7.318 90.00 90.00 90.00
Fractional positions:
Zr (0.000, 0.000, 0.000)
Zr (0.500, 0.500, 0.287)
Ru (0.500, 0.500, 0.836)
Br (0.000, 0.000, 0.519)

2 | Computed, not measured: a crystal of Zr2RuBr relaxed with PBEsol at the SCAN level of DFT.

For the total magnetic moment, the calculation gives 0.0 μB per formula unit. Its space-group type is Cmm2. Its density of states at the Fermi level is 3.25 states/eV/f.u.

Lattice parameters (Å, degrees): 3.138 3.138 9.041 90.00 90.00 114.19
Fractional positions:
Zr (0.000, 0.000, 0.000)
Zr (0.500, 0.500, 0.283)
Ru (0.000, 0.000, 0.481)
Br (0.500, 0.500, 0.767)

3 | Computed, not measured: a crystal of Zr2RuBr relaxed with PBEsol at the SCAN level of DFT.

For the total magnetic moment, the calculation gives 0.0 μB per formula unit. Its space-group type is Immm. Its density of states at the Fermi level is 2.70 states/eV/f.u.

Lattice parameters (Å, degrees): 4.884 4.884 4.884 131.90 115.53 84.32
Fractional positions:
Zr (0.240, 0.240, 0.000)
Zr (0.760, 0.760, 0.000)
Ru (0.000, 0.500, 0.500)
Br (0.500, 0.000, 0.500)

4 | Computed, not measured: a crystal of Zr2RuBr relaxed with PBEsol at the SCAN level of DFT.

For the total magnetic moment, the calculation gives 0.0 μB per formula unit. Its space-group type is C2/m. Its density of states at the Fermi level is 3.66 states/eV/f.u.

Lattice parameters (Å, degrees): 3.780 3.780 7.361 104.86 104.86 60.13
Fractional positions:
Zr (0.230, 0.230, 0.191)
Zr (0.770, 0.770, 0.809)
Ru (0.500, 0.500, 0.000)
Br (0.000, 0.000, 0.500)

What should be chosen as the most stable of them? Choose 4.

1 | Computed, not measured: a crystal of Sb3Br relaxed with PBEsol at the SCAN level of DFT.

For the total magnetic moment, the calculation gives 0.0 μB per formula unit. Its space-group type is Immm. Its density of states at the Fermi level is 2.13 states/eV/f.u.

Lattice parameters (Å, degrees): 6.488 6.488 6.488 145.90 135.13 57.54
Fractional positions:
Sb (0.000, 0.000, 0.000)
Sb (0.215, 0.715, 0.500)
Sb (0.785, 0.285, 0.500)
Br (0.500, 0.500, 0.000)

2 | Computed, not measured: a crystal of Sb3Br relaxed with PBEsol at the SCAN level of DFT.

For the total magnetic moment, the calculation gives 0.0 μB per formula unit. Its space-group type is Pm-3n. Its density of states at the Fermi level is 2.83 states/eV/f.u.

Lattice parameters (Å, degrees): 5.948 5.948 5.948 90.00 90.00 90.00
Fractional positions:
Sb (0.000, 0.250, 0.500)
Sb (0.000, 0.750, 0.500)
Sb (0.250, 0.500, 0.000)
Sb (0.500, 0.000, 0.250)
Sb (0.500, 0.000, 0.750)
Sb (0.750, 0.500, 0.000)
Br (0.000, 0.000, 0.000)
Br (0.500, 0.500, 0.500)

3 | Computed, not measured: a crystal of Sb3Br relaxed with PBEsol at the SCAN level of DFT.

For the total magnetic moment, the calculation gives 0.0 μB per formula unit. Its space-group type is P4/mmm. Its density of states at the Fermi level is 1.72 states/eV/f.u.

Lattice parameters (Å, degrees): 3.771 3.771 7.572 90.00 90.00 90.00
Fractional positions:
Sb (0.000, 0.000, 0.000)
Sb (0.500, 0.500, 0.211)
Sb (0.500, 0.500, 0.789)
Br (0.000, 0.000, 0.500)

4 | Computed, not measured: a crystal of Sb3Br relaxed with PBEsol at the SCAN level of DFT.

For the total magnetic moment, the calculation gives 0.0 μB per formula unit. Its space-group type is P-6m2. Its density of states at the Fermi level is 2.51 states/eV/f.u.

Lattice parameters (Å, degrees): 3.425 3.425 10.100 90.00 90.00 120.00
Fractional positions:
Sb (0.000, 0.000, 0.000)
Sb (0.333, 0.667, 0.254)
Sb (0.333, 0.667, 0.746)
Br (0.000, 0.000, 0.500)

What should be chosen as the most stable of them? Choose 3.

1 | Computed, not measured: a crystal of SbBr relaxed with PBEsol at the SCAN level of DFT.

For the total magnetic moment, the calculation gives 0.0 μB per formula unit. Its space-group type is Pmma. Its density of states at the Fermi level is 0.55 states/eV/f.u.

Lattice parameters (Å, degrees): 6.067 3.261 6.300 90.00 90.00 90.00
Fractional positions:
Sb (0.250, 0.000, 0.029)
Sb (0.750, 0.000, 0.971)
Br (0.250, 0.500, 0.665)
Br (0.750, 0.500, 0.335)

2 | Computed, not measured: a crystal of SbBr relaxed with PBEsol at the SCAN level of DFT.

For the total magnetic moment, the calculation gives 0.0 μB per formula unit. Its space-group type is P2_1/m.

Lattice parameters (Å, degrees): 4.428 4.290 8.002 90.00 100.55 90.00
Fractional positions:
Sb (0.221, 0.250, 0.491)
Sb (0.779, 0.750, 0.509)
Br (0.372, 0.250, 0.814)
Br (0.628, 0.750, 0.186)

What should be chosen as the most stable of them? Choose 2.

1 | Computed, not measured: a crystal of SbBr2 relaxed with PBEsol at the SCAN level of DFT.

For the total magnetic moment, the calculation gives 0.0 μB per formula unit. Its space-group type is P-3m1. Its density of states at the Fermi level is 0.61 states/eV/f.u.

Lattice parameters (Å, degrees): 5.022 5.022 3.558 90.00 90.00 120.00
Fractional positions:
Sb (0.000, 0.000, 0.000)
Br (0.333, 0.667, 0.222)
Br (0.667, 0.333, 0.778)

2 | Computed, not measured: a crystal of SbBr2 relaxed with PBEsol at the SCAN level of DFT.

For the total magnetic moment, the calculation gives 0.0 μB per formula unit. Its space-group type is C2/m.

Lattice parameters (Å, degrees): 7.490 7.490 7.183 107.17 107.17 30.68
Fractional positions:
Sb (0.030, 0.030, 0.228)
Sb (0.970, 0.970, 0.772)
Br (0.328, 0.328, 0.737)
Br (0.394, 0.394, 0.241)
Br (0.606, 0.606, 0.759)
Br (0.672, 0.672, 0.263)

What should be chosen as the most stable of them? Choose 2.

1 | Computed, not measured: a crystal of SbSeBr2 relaxed with PBEsol at the SCAN level of DFT.

For the total magnetic moment, the calculation gives 0.0 μB per formula unit. Its space-group type is R-3m. Its density of states at the Fermi level is 3.06 states/eV/f.u.

Lattice parameters (Å, degrees): 9.221 9.221 9.221 22.59 22.59 22.59
Fractional positions:
Sb (0.000, 0.000, 0.000)
Se (0.500, 0.500, 0.500)
Br (0.256, 0.256, 0.256)
Br (0.744, 0.744, 0.744)

2 | Computed, not measured: a crystal of SbSeBr2 relaxed with PBEsol at the SCAN level of DFT.

For the total magnetic moment, the calculation gives 0.0 μB per formula unit. Its space-group type is Cmmm. Its density of states at the Fermi level is 3.17 states/eV/f.u.

Lattice parameters (Å, degrees): 3.469 3.469 9.194 90.00 90.00 118.88
Fractional positions:
Sb (0.000, 0.000, 0.000)
Se (0.000, 0.000, 0.500)
Br (0.500, 0.500, 0.254)
Br (0.500, 0.500, 0.746)

3 | Computed, not measured: a crystal of SbSeBr2 relaxed with PBEsol at the SCAN level of DFT.

For the total magnetic moment, the calculation gives 0.0 μB per formula unit. Its space-group type is F-43m. Its density of states at the Fermi level is 2.02 states/eV/f.u.

Lattice parameters (Å, degrees): 5.061 5.061 5.061 60.00 60.00 60.00
Fractional positions:
Sb (0.000, 0.000, 0.000)
Se (0.750, 0.750, 0.750)
Br (0.250, 0.250, 0.250)
Br (0.500, 0.500, 0.500)

4 | Computed, not measured: a crystal of SbSeBr2 relaxed with PBEsol at the SCAN level of DFT.

For the total magnetic moment, the calculation gives 1.0 μB per formula unit. Its space-group type is Fm-3m. Its density of states at the Fermi level is 1.79 states/eV/f.u.

Lattice parameters (Å, degrees): 5.091 5.091 5.091 60.00 60.00 60.00
Fractional positions:
Sb (0.000, 0.000, 0.000)
Se (0.500, 0.500, 0.500)
Br (0.250, 0.250, 0.250)
Br (0.750, 0.750, 0.750)

What should be chosen as the most stable of them? Choose 3.

1 | Computed, not measured: a crystal of SiSbBr2 relaxed with PBEsol at the SCAN level of DFT.

For the total magnetic moment, the calculation gives 0.0 μB per formula unit. Its space-group type is F-43m. Its density of states at the Fermi level is 4.34 states/eV/f.u.

Lattice parameters (Å, degrees): 5.026 5.026 5.026 60.00 60.00 60.00
Fractional positions:
Si (0.000, 0.000, 0.000)
Sb (0.750, 0.750, 0.750)
Br (0.250, 0.250, 0.250)
Br (0.500, 0.500, 0.500)

2 | Computed, not measured: a crystal of SiSbBr2 relaxed with PBEsol at the SCAN level of DFT.

For the total magnetic moment, the calculation gives 0.0 μB per formula unit. Its space-group type is R3m. Its density of states at the Fermi level is 2.20 states/eV/f.u.

Lattice parameters (Å, degrees): 7.684 7.684 7.684 31.14 31.14 31.14
Fractional positions:
Si (0.000, 0.000, 0.000)
Sb (0.282, 0.282, 0.282)
Br (0.527, 0.527, 0.527)
Br (0.742, 0.742, 0.742)

3 | Computed, not measured: a crystal of SiSbBr2 relaxed with PBEsol at the SCAN level of DFT.

For the total magnetic moment, the calculation gives 0.0 μB per formula unit. Its space-group type is R-3m. Its density of states at the Fermi level is 1.99 states/eV/f.u.

Lattice parameters (Å, degrees): 9.969 9.969 9.969 19.97 19.97 19.97
Fractional positions:
Si (0.000, 0.000, 0.000)
Sb (0.500, 0.500, 0.500)
Br (0.402, 0.402, 0.402)
Br (0.598, 0.598, 0.598)

What should be chosen as the most stable of them? Choose 2.

1 | Computed, not measured: a crystal of Si2SbBr relaxed with PBEsol at the SCAN level of DFT.

For the total magnetic moment, the calculation gives 0.0 μB per formula unit. Its space-group type is Pmmm. Its density of states at the Fermi level is 1.88 states/eV/f.u.

Lattice parameters (Å, degrees): 3.188 5.066 5.139 90.00 90.00 90.00
Fractional positions:
Si (0.000, 0.000, 0.000)
Si (0.500, 0.500, 0.000)
Sb (0.000, 0.500, 0.500)
Br (0.500, 0.000, 0.500)

2 | Computed, not measured: a crystal of Si2SbBr relaxed with PBEsol at the SCAN level of DFT.

For the total magnetic moment, the calculation gives 0.0 μB per formula unit. Its space-group type is F-43m. Its density of states at the Fermi level is 1.50 states/eV/f.u.

Lattice parameters (Å, degrees): 4.865 4.865 4.865 60.00 60.00 60.00
Fractional positions:
Si (0.000, 0.000, 0.000)
Si (0.250, 0.250, 0.250)
Sb (0.500, 0.500, 0.500)
Br (0.750, 0.750, 0.750)

What should be chosen as the most stable of them? Choose 2.